No. 1
Here is a relaxed structure of CsNp6Se12 from Alexandria via LeMat-Bulk. Energies are from PBE.

Geometry as POSCAR:
```
CsNp6Se12
1.0
-5.2441 -4.4685 -4.9846
7.8137 -2.7986 -1.8515
-1.5537 -2.6980 7.9133
Cs Np Se
1 6 12
Direct
0.0000 0.0000 0.0000
0.6578 0.2527 0.2527
0.2527 0.2527 0.6578
0.2527 0.6578 0.2527
0.7473 0.7473 0.3422
0.3422 0.7473 0.7473
0.7473 0.3422 0.7473
0.8701 0.1299 0.5000
0.8203 0.5614 0.5614
0.5614 0.5614 0.8203
0.4386 0.1797 0.4386
0.4386 0.4386 0.1797
0.1797 0.4386 0.4386
0.1299 0.5000 0.8701
0.5000 0.8701 0.1299
0.1299 0.8701 0.5000
0.8701 0.5000 0.1299
0.5000 0.1299 0.8701
0.5614 0.8203 0.5614
```

Values from the calculation:
Electronic total energy = -139.48 eV/cell
DOS(E_F) = 53.48 states/eV per cell
Space-group type = R-3m
ΔE_f (raw) = -1008.9 meV per atom

No. 2
Here is a relaxed structure of Fe3Co2Ir3 from Alexandria via LeMat-Bulk. Energies are from PBE.

Geometry as POSCAR:
```
Fe3Co2Ir3
1.0
-0.4018 -3.6096 0.0130
0.4855 -0.0407 3.6871
-7.2997 0.8161 0.9701
Fe Co Ir
3 2 3
Direct
0.5000 0.0000 0.5000
0.0000 0.5000 0.0000
0.0000 0.5000 0.5000
0.0000 0.0000 0.7490
0.0000 0.0000 0.2510
0.5000 0.5000 0.7428
0.5000 0.5000 0.2572
0.5000 0.0000 0.0000
```

Values from the calculation:
Energy relative to the elements = -0.26 kcal/mol of atoms
Electronic total energy = -66.27 eV/cell
DOS(E_F) = 8.75 states/eV per cell
Space-group type = Pmmm

No. 3
Here is a relaxed structure of ZnGaSbI2 from Alexandria via LeMat-Bulk. Energies are from PBE.

Geometry as POSCAR:
```
ZnGaSbI2
1.0
5.7843 0.0000 0.0000
0.0000 5.7843 0.0000
0.0000 0.0000 5.1955
I Sb Zn Ga
2 1 1 1
Direct
0.0000 0.5000 0.0000
0.5000 0.0000 0.0000
0.0000 0.0000 0.5000
0.0000 0.0000 0.0000
0.5000 0.5000 0.5000
```

Values from the calculation:
E above lowest polymorph = 0.000 eV per atom
Electronic total energy = -10.60 eV/cell
DOS(E_F) = 4.02 states/eV per cell
Space-group type = P4/mmm
ΔE_f (raw) = 184.2 meV per atom

No. 4
Here is a relaxed structure of NbHSN2 from Alexandria via LeMat-Bulk. Energies are from PBE.

Geometry as POSCAR:
```
NbHSN2
1.0
3.9131 0.0000 0.0000
0.0000 3.9131 0.0000
0.0000 0.0000 2.9606
H Nb S N
1 1 1 2
Direct
0.0000 0.0000 0.0000
0.5000 0.5000 0.5000
0.0000 0.0000 0.5000
0.0000 0.5000 0.0000
0.5000 0.0000 0.0000
```

Values from the calculation:
E above lowest polymorph = 0.193 eV per atom
Electronic total energy = -28.52 eV/cell
DOS(E_F) = 3.86 states/eV per cell
Space-group type = P4/mmm

No. 5
Here is a relaxed structure of OsSeS2 from Alexandria via LeMat-Bulk. Energies are from PBE.

Geometry as POSCAR:
```
OsSeS2
1.0
2.0596 0.0000 7.3149
-1.0298 1.7837 7.3149
-1.0298 -1.7837 7.3149
S Os Se
2 1 1
Direct
0.8873 0.8873 0.8873
0.1127 0.1127 0.1127
0.5000 0.5000 0.5000
0.0000 0.0000 0.0000
```

Values from the calculation:
Electronic total energy = -22.49 eV/cell
DOS(E_F) = 3.71 states/eV per cell
Space-group type = R-3m
ΔE_f (raw) = 119.8 meV per atom

No. 6
Here is a relaxed structure of TbSc2Pd from Alexandria via LeMat-Bulk. Energies are from PBE.

Geometry as POSCAR:
```
TbSc2Pd
1.0
-0.4851 0.4036 3.4105
-2.0337 -2.2093 1.7358
6.5302 -6.0555 3.4091
Tb Sc Pd
1 2 1
Direct
0.5016 0.5016 0.4952
0.0659 0.0659 0.8024
0.2664 0.2664 0.2008
0.6661 0.6661 0.0016
```

Values from the calculation:
E above lowest polymorph = 0.197 eV per atom
Energy relative to the elements = -5.81 kcal/mol of atoms
Electronic total energy = -23.49 eV/cell
DOS(E_F) = 5.44 states/eV per cell
Space-group type = R3m

No. 7
Here is a relaxed structure of Li2ErGa6 from Alexandria via LeMat-Bulk. Energies are from PBE.

Geometry as POSCAR:
```
Li2ErGa6
1.0
3.4076 0.0000 0.0000
1.7038 7.4270 0.8714
1.7038 2.9673 6.8640
Li Er Ga
2 1 6
Direct
0.3697 0.1303 0.1303
0.6303 0.8697 0.8697
0.5000 0.5000 0.5000
0.1832 0.4943 0.1394
0.8168 0.5057 0.8606
0.8168 0.8606 0.5057
0.0000 0.1708 0.8292
0.0000 0.8292 0.1708
0.1832 0.1394 0.4943
```

Values from the calculation:
E above lowest polymorph = 0.026 eV per atom
Energy relative to the elements = -6.99 kcal/mol of atoms
Electronic total energy = -29.28 eV/cell
DOS(E_F) = 2.79 states/eV per cell
Space-group type = Immm

- Among the records above, which one has the lowest DOS(E_F)?
  Li2ErGa6